Below is a geometry-optimized PmSmP structure, with properties calculated at the PBE level.

## Properties
ΔE to the lowest computed polymorph in meV/atom: 208.6
Space group: I4mm (107)
E_tot in eV/atom: -5.69
ρ in g/cm3: 6.6
Size of the total moment in μB/f.u.: 0.0
ΔE_f in eV per formula unit: -2.19

a b c (Å): 3.572 3.572 6.931
angles (deg): 104.93 104.93 90.00
Element x y z (fractional)
1 Pm 0.293 0.293 0.586
2 Sm 0.041 0.041 0.082
3 P 0.666 0.666 0.332

Below is a geometry-optimized PmSmP2 structure, with properties calculated at the PBE level.

## Properties
ΔE to the lowest computed polymorph in meV/atom: 508.7
Space group: Fm-3m (225)
E_tot in eV/atom: -6.13
ρ in g/cm3: 6.6
Size of the total moment in μB/f.u.: 0.0
ΔE_f in eV per formula unit: -4.25

a b c (Å): 5.023 5.023 5.023
angles (deg): 60.00 60.00 60.00
Element x y z (fractional)
1 Sm 0.500 0.500 0.500
2 Pm 0.000 0.000 0.000
3 P 0.750 0.750 0.750
4 P 0.250 0.250 0.250